No. 1
# Dy2Si3GeIr4

A relaxed Dy2Si3GeIr4 crystal (PBE, the Alexandria database).

```
10
Lattice="4.1553 0.0000 0.0000 0.0000 4.1553 0.0000 0.0000 0.0000 9.9143" Properties=species:S:1:pos:R:3 pbc="T T T"
Dy 0.0000 2.0776 2.4526
Dy 2.0776 0.0000 7.4618
Si 0.0000 0.0000 0.0000
Si 0.0000 2.0776 6.2420
Si 2.0776 0.0000 3.6724
Ge 2.0776 2.0776 0.0000
Ir 0.0000 0.0000 4.9572
Ir 0.0000 2.0776 8.5961
Ir 2.0776 0.0000 1.3183
Ir 2.0776 2.0776 4.9572
```

No. 2
# Dy2TaGe3Ir4

A relaxed Dy2TaGe3Ir4 crystal (PBE, the Alexandria database).

```
10
Lattice="4.1417 0.0000 0.0000 0.0000 4.1417 0.0000 0.0000 0.0000 10.7790" Properties=species:S:1:pos:R:3 pbc="T T T"
Dy 0.0000 2.0708 2.5208
Dy 2.0708 0.0000 8.2582
Ta 0.0000 0.0000 5.3895
Ge 0.0000 2.0708 9.3772
Ge 2.0708 0.0000 1.4018
Ge 2.0708 2.0708 5.3895
Ir 0.0000 0.0000 0.0000
Ir 0.0000 2.0708 6.9242
Ir 2.0708 0.0000 3.8548
Ir 2.0708 2.0708 0.0000
```

Values from the calculation:
ΔE_f: -728 kJ/mol of formula units

| no. | uncorrected energy (Ha/atom) | M_tot (μB per atom) | DOS(E_F) (states/eV/atom) |
| --- | --- | --- | --- |
| 1 | -0.2771 | 0.0000 | 0.394 |
| 2 | -0.2863 | 0.0000 | 0.541 |